[1]
# VGaSiGe2

Crystalline VGaSiGe2 at its relaxed geometry (GGA-PBE, the Alexandria database).

The uncorrected formation energy is 0.682 eV/atom. As for the size of the total moment: 0.3 μB/f.u.

The structure belongs to space group P4/mmm (No. 123); the cell edges are 4.726, 4.726 and 4.816 Å and the angles 90.00°, 90.00° and 90.00°. The asymmetric unit holds V at (0.000, 0.000, 0.000), Ga at (0.000, 0.000, 0.500), Si at (0.500, 0.500, 0.500) and Ge at (0.000, 0.500, 0.000).


[2]
# Er2TmBi

Crystalline Er2TmBi at its relaxed geometry (GGA-PBE, the Alexandria database).

For the formation energy, the calculation gives -18.1 kJ/mol of atoms. For the relative energy among the computed polymorphs, the calculation gives 0.193 eV/atom. As for the size of the total moment: 0.0 μB/f.u.

The structure belongs to space group R-3m (No. 166, hexagonal axes); the cell edges are 3.5857, 3.5857 and 32.2644 Å and the angles 90.00°, 90.00° and 120.00°. The asymmetric unit holds Er at (0.0000, 0.0000, 0.2475), Tm at (0.0000, 0.0000, 0.0000) and Bi at (0.0000, 0.0000, 0.5000).